1.
VASP calculation (PBE-GGA) on a geometry-optimized AlVCdH2 structure.

a = 3.754 Å, b = 3.754 Å, c = 5.655 Å
α = 90.00°, β = 90.00°, γ = 90.00°
Space group P4/mmm (No. 123)
Symmetry-distinct sites (fractional):
Al1 0.000 0.000 0.000 (multiplicity 1)
V1 0.500 0.500 0.500 (multiplicity 1)
Cd1 0.000 0.000 0.500 (multiplicity 1)
H1 0.000 0.500 0.000 (multiplicity 2)

Output
Volume   79.7 Å³/cell
E above lowest polymorph   0.000 eV per atom
D(E_F)   0.83 states/eV per atom


2.
VASP calculation (PBE-GGA) on a geometry-optimized YAl2CdH structure.

a = 4.436 Å, b = 4.436 Å, c = 4.350 Å
α = 90.00°, β = 90.00°, γ = 90.00°
Space group P4/mmm (No. 123)
Symmetry-distinct sites (fractional):
Y1 0.000 0.000 0.000 (multiplicity 1)
Al1 0.000 0.500 0.500 (multiplicity 2)
Cd1 0.500 0.500 0.000 (multiplicity 1)
H1 0.000 0.000 0.500 (multiplicity 1)

Output
Raw total energy   -3.840 eV/atom
Volume   85.6 Å³/cell
D(E_F)   0.27 states/eV per atom


3.
VASP calculation (PBE-GGA) on a geometry-optimized Y2AlCdH structure.

a = 4.802 Å, b = 4.802 Å, c = 4.330 Å
α = 90.00°, β = 90.00°, γ = 90.00°
Space group P4/mmm (No. 123)
Symmetry-distinct sites (fractional):
Y1 0.000 0.500 0.000 (multiplicity 2)
Al1 0.000 0.000 0.500 (multiplicity 1)
Cd1 0.500 0.500 0.500 (multiplicity 1)
H1 0.500 0.500 0.000 (multiplicity 1)

Output
Volume   99.9 Å³/cell
E above lowest polymorph   0.000 eV per atom
D(E_F)   0.68 states/eV per atom


4.
VASP calculation (PBE-GGA) on a geometry-optimized Y2AlCdH structure.

a = 5.010 Å, b = 5.010 Å, c = 3.991 Å
α = 90.00°, β = 90.00°, γ = 90.00°
Space group P4/mmm (No. 123)
Symmetry-distinct sites (fractional):
Y1 0.000 0.500 0.000 (multiplicity 2)
Al1 0.000 0.000 0.500 (multiplicity 1)
Cd1 0.500 0.500 0.500 (multiplicity 1)
H1 0.000 0.000 0.000 (multiplicity 1)

Output
Volume   100.2 Å³/cell
E above lowest polymorph   0.002 eV per atom
D(E_F)   0.60 states/eV per atom


5.
VASP calculation (PBE-GGA) on a geometry-optimized HfAl2Cd2 structure.

a = 7.996 Å, b = 7.996 Å, c = 3.112 Å
α = 90.00°, β = 90.00°, γ = 90.00°
Space group P4/mbm (No. 127)
Symmetry-distinct sites (fractional):
Hf1 0.000 0.000 0.000 (multiplicity 2)
Al1 0.177 0.323 0.500 (multiplicity 4)
Cd1 0.126 0.626 0.000 (multiplicity 4)

Output
Formation energy from the elements   0.71 eV per formula unit
Volume   199.0 Å³/cell
E above lowest polymorph   0.027 eV per atom
D(E_F)   0.46 states/eV per atom


6.
VASP calculation (PBE-GGA) on a geometry-optimized Hf2Al2Cd structure.

a = 6.851 Å, b = 6.851 Å, c = 4.150 Å
α = 90.00°, β = 90.00°, γ = 90.00°
Space group P4/mbm (No. 127)
Symmetry-distinct sites (fractional):
Hf1 0.168 0.332 0.000 (multiplicity 4)
Al1 0.130 0.630 0.500 (multiplicity 4)
Cd1 0.000 0.000 0.500 (multiplicity 2)

Output
Formation energy from the elements   -1.08 eV per formula unit
Volume   194.7 Å³/cell
D(E_F)   0.53 states/eV per atom


7.
VASP calculation (PBE-GGA) on a geometry-optimized Hf2AlCd4 structure.

a = 5.199 Å, b = 5.199 Å, c = 14.111 Å
α = 90.00°, β = 90.00°, γ = 90.00°
Space group I4/mmm (No. 139)
Symmetry-distinct sites (fractional):
Hf1 0.000 0.000 0.099 (multiplicity 4)
Al1 0.000 0.000 0.500 (multiplicity 2)
Cd1 0.000 0.000 0.306 (multiplicity 4)
Cd2 0.000 0.500 0.000 (multiplicity 4)

Output
Formation energy from the elements   4.50 eV per formula unit
Volume   381.4 Å³/cell
D(E_F)   0.91 states/eV per atom


8.
VASP calculation (PBE-GGA) on a geometry-optimized HfAl2Cd2 structure.

a = 7.822 Å, b = 7.822 Å, c = 3.230 Å
α = 90.00°, β = 90.00°, γ = 90.00°
Space group P4/mbm (No. 127)
Symmetry-distinct sites (fractional):
Hf1 0.000 0.000 0.000 (multiplicity 2)
Al1 0.129 0.371 0.000 (multiplicity 4)
Cd1 0.169 0.669 0.500 (multiplicity 4)

Output
Formation energy from the elements   0.58 eV per formula unit
Volume   197.6 Å³/cell
E above lowest polymorph   0.000 eV per atom
D(E_F)   0.34 states/eV per atom